DFT (PBE) results for a geometry-optimized YErGa2 structure.

Summary:
- ΔE_f: -0.589 eV per atom
- Energy: -4.86 eV per atom
- Volume: 22.6 Å³/atom

```
YErGa2
1.0
0.0000 3.5606 3.5606
3.5606 0.0000 3.5606
3.5606 3.5606 0.0000
Y Er Ga
1 1 2
direct
0.0000 0.0000 0.0000
0.5000 0.5000 0.5000
0.2500 0.2500 0.2500
0.7500 0.7500 0.7500
```